Density functional theory data (PBE) for Ta2Hg after structural relaxation.

Unit cell a=2.9729 b=2.9729 c=7.5782 alpha=90.00 beta=90.00 gamma=120.00
Last column: nearest neighbours and their distance in Å.
Element x y z (fractional)
Ta 0.3333 0.6667 0.3335  9 Ta 2.97-3.05, 3 Hg 3.06
Ta 0.6667 0.3333 0.6665  9 Ta 2.97-3.05, 3 Hg 3.06
Hg 0.0000 0.0000 0.0000  6 Hg 2.97, 6 Ta 3.06

formation energy from the elements = 0.342 eV/atom
SG = P-3m1

=====

Density functional theory data (PBE) for KTbZnS3 after structural relaxation.

Unit cell a=8.7757 b=4.0043 c=9.5133 alpha=90.00 beta=107.11 gamma=90.00
Last column: nearest neighbours and their distance in Å.
Element x y z (fractional)
K 0.2025 0.2500 0.2266  7 S 3.23-3.57
K 0.7975 0.7500 0.7734  7 S 3.23-3.57
Tb 0.3327 0.7500 0.8566  6 S 2.71-2.94
Tb 0.6673 0.2500 0.1434  6 S 2.71-2.94
Zn 0.0841 0.2500 0.6068  4 S 2.30-2.43
Zn 0.9159 0.7500 0.3932  4 S 2.30-2.43
S 0.1134 0.2500 0.8554  1 Zn 2.30
S 0.1962 0.7500 0.5349  3 Zn 2.42-2.43
S 0.4575 0.7500 0.1536  3 Tb 2.71-2.74
S 0.5425 0.2500 0.8464  3 Tb 2.71-2.74
S 0.8038 0.2500 0.4651  3 Zn 2.42-2.43
S 0.8866 0.7500 0.1446  1 Zn 2.30

SG = P2_1/m
formation energy from raw total energies = -1.486 eV/atom

=====

Density functional theory data (PBE) for MgCdOs2W after structural relaxation.

Unit cell a=4.8083 b=4.8083 c=4.3936 alpha=90.00 beta=90.00 gamma=90.00
Last column: nearest neighbours and their distance in Å.
Element x y z (fractional)
Mg 0.0000 0.0000 0.0000  2 Cd 2.20
Cd 0.0000 0.0000 0.5000  2 Mg 2.20, 4 Os 2.40
Os 0.0000 0.5000 0.5000  2 Cd 2.40
Os 0.5000 0.0000 0.5000  2 Cd 2.40
W 0.5000 0.5000 0.0000  8 Os 3.26, 4 Mg 3.40

formation energy from the elements = 2.571 eV/atom
SG = P4/mmm